No. 1
# Ce4PdRu2 GGA-PBE optimized geometry
# E_form = -0.4267 eV per atom
# VASP energy = -7.210 eV per atom
# Density = 8.8 g cm⁻³
# Crystal system = triclinic
data_Ce4PdRu2
_chemical_formula_sum 'Ce8 Pd2 Ru4'
_symmetry_space_group_name_H-M 'P 1'
_symmetry_Int_Tables_number 1
_cell_length_a 7.512
_cell_length_b 7.514
_cell_length_c 7.517
_cell_angle_alpha 111.36
_cell_angle_beta 108.52
_cell_angle_gamma 108.51
loop_
_symmetry_equiv_pos_as_xyz
'x,y,z'
loop_
_atom_site_label
_atom_site_type_symbol
_atom_site_fract_x
_atom_site_fract_y
_atom_site_fract_z
Ce1 Ce 0.000 0.000 0.000
Ce2 Ce 0.009 0.005 0.505
Ce3 Ce 0.128 0.530 0.402
Ce4 Ce 0.383 0.903 0.285
Ce5 Ce 0.500 0.123 0.877
Ce6 Ce 0.510 0.628 0.883
Ce7 Ce 0.628 0.525 0.408
Ce8 Ce 0.883 0.407 0.780
Pd1 Pd 0.255 0.390 0.018
Pd2 Pd 0.755 0.141 0.267
Ru1 Ru 0.143 0.765 0.781
Ru2 Ru 0.366 0.265 0.504
Ru3 Ru 0.643 0.903 0.642
Ru4 Ru 0.866 0.626 0.143

***

No. 2
# Ce2PdRu GGA-PBE optimized geometry
# E_form = -0.4034 eV per atom
# VASP energy = -6.987 eV per atom
# Density = 8.5 g cm⁻³
# Crystal system = trigonal
data_Ce2PdRu
_chemical_formula_sum 'Ce6 Pd3 Ru3'
_symmetry_space_group_name_H-M 'R 3 m'
_symmetry_Int_Tables_number 160
_symmetry_space_group_name_Hall 'R 3 -2"'
_cell_length_a 4.0011
_cell_length_b 4.0011
_cell_length_c 20.6176
_cell_angle_alpha 90.00
_cell_angle_beta 90.00
_cell_angle_gamma 120.00
loop_
_atom_site_label
_atom_site_type_symbol
_atom_site_fract_x
_atom_site_fract_y
_atom_site_fract_z
Ce1 Ce 0.0000 0.0000 0.0000
Ce2 Ce 0.0000 0.0000 0.1832
Pd1 Pd 0.0000 0.0000 0.4265
Ru1 Ru 0.0000 0.0000 0.5912

***

No. 3
# Ce2PdRu GGA-PBE optimized geometry
# E_form = -0.4736 eV per atom
# VASP energy = -7.058 eV per atom
# Density = 9.4 g cm⁻³
# Crystal system = tetragonal
data_Ce2PdRu
_chemical_formula_sum 'Ce2 Pd1 Ru1'
_symmetry_space_group_name_H-M 'P 4/m m m'
_symmetry_Int_Tables_number 123
_symmetry_space_group_name_Hall '-P 4 2'
_cell_length_a 3.467
_cell_length_b 3.467
_cell_length_c 7.193
_cell_angle_alpha 90.00
_cell_angle_beta 90.00
_cell_angle_gamma 90.00
loop_
_atom_site_label
_atom_site_type_symbol
_atom_site_fract_x
_atom_site_fract_y
_atom_site_fract_z
Ce1 Ce 0.000 0.000 0.234
Pd1 Pd 0.500 0.500 0.500
Ru1 Ru 0.500 0.500 0.000